Te2IrPbI after structural relaxation, computed with PBE. Values from VASP.

Geometry as Quantum ESPRESSO input:
```
&SYSTEM
  ibrav = 0, nat = 5, ntyp = 4
/
ATOMIC_SPECIES
I 126.90 I.upf
Te 127.60 Te.upf
Pb 207.20 Pb.upf
Ir 192.22 Ir.upf
ATOMIC_POSITIONS angstrom
I -0.698 1.156 2.375
Te -2.563 -0.401 -0.558
Te -0.112 2.370 -1.187
Pb -3.373 3.126 0.629
Ir 0.000 0.000 0.000
CELL_PARAMETERS angstrom
-0.224 4.740 -2.375
-5.125 -0.802 -1.117
-1.397 2.313 4.749
```

Computed properties:
Energy above the lowest structure with this stoichiometry   0.000 eV per atom
Crystal system   tetragonal
Formation energy (no corrections)   248 meV/atom

***

BaP2OsCl after structural relaxation, computed with PBE. Values from VASP.

Geometry as Quantum ESPRESSO input:
```
&SYSTEM
  ibrav = 0, nat = 5, ntyp = 4
/
ATOMIC_SPECIES
Ba 137.33 Ba.upf
P 30.97 P.upf
Cl 35.45 Cl.upf
Os 190.23 Os.upf
ATOMIC_POSITIONS angstrom
Ba 2.284 2.284 2.853
P 2.284 0.000 0.000
P 0.000 2.284 0.000
Cl 0.000 0.000 2.853
Os 0.000 0.000 0.000
CELL_PARAMETERS angstrom
4.567 0.000 0.000
0.000 4.567 0.000
0.000 0.000 5.706
```

Computed properties:
Energy above the lowest structure with this stoichiometry   0.000 eV per atom
Crystal system   tetragonal
Formation energy (no corrections)   -469 meV/atom

***

Ac8La5Nd after structural relaxation, computed with PBE. Values from VASP.

Geometry as Quantum ESPRESSO input:
```
&SYSTEM
  ibrav = 0, nat = 14, ntyp = 3
/
ATOMIC_SPECIES
Ac 227.00 Ac.upf
La 138.91 La.upf
Nd 144.24 Nd.upf
ATOMIC_POSITIONS angstrom
Ac -2.569 5.449 1.724
Ac 1.058 6.547 3.156
La -1.089 2.223 0.125
La 2.173 0.735 7.826
Ac -1.741 5.372 -2.201
Ac 5.281 1.875 0.215
La 4.245 5.102 2.132
Ac 1.975 4.427 -0.893
Nd 0.109 3.662 4.580
Ac 1.834 1.952 2.267
Ac 4.272 2.897 5.360
Ac 7.808 0.778 3.184
La 3.630 6.589 -3.676
La 4.479 0.000 3.203
CELL_PARAMETERS angstrom
8.740 0.000 -2.755
-4.479 7.324 -3.203
0.219 0.000 9.161
```

Computed properties:
Crystal system   tetragonal
Energy relative to the elements   0.210 eV per atom

***

ZrScMn2Ni after structural relaxation, computed with PBE. Values from VASP.

Geometry as Quantum ESPRESSO input:
```
&SYSTEM
  ibrav = 0, nat = 5, ntyp = 4
/
ATOMIC_SPECIES
Zr 91.22 Zr.upf
Sc 44.96 Sc.upf
Mn 54.94 Mn.upf
Ni 58.69 Ni.upf
ATOMIC_POSITIONS angstrom
Zr 0.000 0.000 0.000
Sc 2.250 -1.158 -0.313
Mn -0.478 -1.410 1.775
Ni 0.793 -4.075 0.001
Mn -0.979 -1.508 -1.461
CELL_PARAMETERS angstrom
-1.958 -3.015 -2.922
4.501 -2.316 -0.627
-0.956 -2.819 3.550
```

Computed properties:
Crystal system   tetragonal
Energy relative to the elements   1.445 eV per atom

***

AsRh6O12 after structural relaxation, computed with PBE. Values from VASP.

Geometry as Quantum ESPRESSO input:
```
&SYSTEM
  ibrav = 0, nat = 19, ntyp = 3
/
ATOMIC_SPECIES
Rh 102.91 Rh.upf
O 16.00 O.upf
As 74.92 As.upf
ATOMIC_POSITIONS angstrom
Rh -5.275 1.552 2.425
O -2.872 4.930 1.556
O -3.978 -2.574 3.539
Rh -5.933 -0.946 0.153
O -4.347 -0.414 -3.989
O -5.039 -0.399 1.973
O -5.255 0.239 -1.331
O -3.124 1.214 2.159
O -5.507 -3.477 -0.728
As 0.000 0.000 0.000
O -3.772 -1.291 -0.003
O -4.401 4.028 -2.711
O -4.607 2.744 0.831
O -3.340 1.852 -1.145
O -4.032 1.867 4.817
Rh -2.446 2.399 0.675
Rh -5.479 2.288 -0.929
Rh -2.900 -0.834 1.757
Rh -3.104 -0.099 -1.597
CELL_PARAMETERS angstrom
-1.772 4.807 3.020
-3.262 0.739 -4.917
-3.345 -4.093 2.726
```

Computed properties:
Crystal system   trigonal
Formation energy (no corrections)   -575 meV/atom

***

LaBeRuN after structural relaxation, computed with PBE. Values from VASP.

Geometry as Quantum ESPRESSO input:
```
&SYSTEM
  ibrav = 0, nat = 8, ntyp = 4
/
ATOMIC_SPECIES
Ru 101.07 Ru.upf
N 14.01 N.upf
La 138.91 La.upf
Be 9.01 Be.upf
ATOMIC_POSITIONS angstrom
Ru 1.759 4.260 2.042
N 5.180 5.447 1.524
La 4.721 4.302 3.869
Be 1.210 1.935 2.425
N -0.052 1.084 1.905
La 0.408 2.230 -0.440
Ru 3.370 2.271 1.387
Be 3.918 4.596 1.005
CELL_PARAMETERS angstrom
-1.315 3.024 -1.757
-1.906 0.954 3.069
6.739 4.542 2.773
```

Computed properties:
Crystal system   tetragonal
Formation energy (no corrections)   -777 meV/atom

***

Total DFT energy (no corrections)
In order: -3.832, -5.633, -4.238, -6.355, -6.273, -7.341
Unit: eV per atom